{"formula": "CsVBiSe4", "functional": "PBE", "state": "relaxed", "cell": [[6.891, 0.000, 0.000], [0.000, 7.400, 0.000], [-3.137, 0.000, 9.344]], "species": ["Cs", "Cs", "V", "V", "Bi", "Bi", "Se", "Se", "Se", "Se", "Se", "Se", "Se", "Se"], "frac_coords": [[0.227, 0.250, 0.432], [0.773, 0.750, 0.568], [0.290, 0.750, 0.174], [0.710, 0.250, 0.826], [0.268, 0.250, 0.967], [0.732, 0.750, 0.033], [0.076, 0.750, 0.314], [0.078, 0.750, 0.936], [0.491, 0.001, 0.800], [0.491, 0.499, 0.800], [0.509, 0.501, 0.200], [0.509, 0.999, 0.200], [0.922, 0.250, 0.064], [0.924, 0.250, 0.686]], "magmom_total_mub_per_atom": 0.14, "energy_ev_per_atom": -4.65}